1.
# Rb3Ac2ThSe6

A geometry-optimized Rb3Ac2ThSe6 structure (PBE, Alexandria).

- V (Å³/atom) = 35.4
- total magnetization (Bohr magnetons per cell) = 0.00
- DOS(E_F) (states/eV per cell) = 5.13
- formation energy without anion corrections (eV per formula unit) = -20.341
- ρ (g/cm³) = 5.54

a = 7.799 Å, b = 7.799 Å, c = 8.467 Å
α = 98.85°, β = 98.85°, γ = 119.98°
Element x y z (fractional)
Rb1 0.169 0.831 0.500
Rb2 0.831 0.169 0.500
Rb3 0.500 0.500 0.500
Ac1 0.334 0.666 0.000
Ac2 0.666 0.334 0.000
Th1 0.000 0.000 0.000
Se1 0.931 0.614 0.793
Se2 0.753 0.753 0.207
Se3 0.069 0.386 0.207
Se4 0.614 0.931 0.793
Se5 0.247 0.247 0.793
Se6 0.386 0.069 0.207



2.
# Rb3Ac3ThSe8

A geometry-optimized Rb3Ac3ThSe8 structure (PBE, Alexandria).

- V (Å³/atom) = 38.9
- total magnetization (Bohr magnetons per cell) = 0.00
- DOS(E_F) (states/eV per cell) = 0.00
- formation energy without anion corrections (eV per formula unit) = -26.968
- ρ (g/cm³) = 5.13

a = 9.103 Å, b = 9.104 Å, c = 9.683 Å
α = 118.06°, β = 90.00°, γ = 120.00°
Element x y z (fractional)
Rb1 0.000 0.000 0.000
Rb2 0.000 0.500 0.000
Rb3 0.500 0.500 0.000
Ac1 0.500 0.000 0.500
Ac2 0.500 0.500 0.500
Ac3 0.000 0.500 0.500
Th1 0.000 0.000 0.500
Se1 0.264 0.529 0.293
Se2 0.736 0.471 0.707
Se3 0.777 0.555 0.304
Se4 0.223 0.445 0.696
Se5 0.777 0.027 0.304
Se6 0.223 0.973 0.696
Se7 0.250 0.027 0.304
Se8 0.750 0.973 0.696



3.
# Rb3AcTh2Se6

A geometry-optimized Rb3AcTh2Se6 structure (PBE, Alexandria).

- V (Å³/atom) = 33.8
- total magnetization (Bohr magnetons per cell) = 0.00
- DOS(E_F) (states/eV per cell) = 7.67
- formation energy without anion corrections (eV per formula unit) = -19.164
- ρ (g/cm³) = 5.82

a = 7.592 Å, b = 7.592 Å, c = 8.510 Å
α = 98.57°, β = 98.57°, γ = 119.99°
Element x y z (fractional)
Rb1 0.163 0.837 0.500
Rb2 0.837 0.163 0.500
Rb3 0.500 0.500 0.500
Ac1 0.000 0.000 0.000
Th1 0.333 0.667 0.000
Th2 0.667 0.333 0.000
Se1 0.930 0.581 0.793
Se2 0.719 0.719 0.206
Se3 0.070 0.419 0.207
Se4 0.581 0.930 0.793
Se5 0.281 0.281 0.794
Se6 0.419 0.070 0.207



4.
# Rb4Ac3TiSe8

A geometry-optimized Rb4Ac3TiSe8 structure (PBE, Alexandria).

- V (Å³/atom) = 34.4
- total magnetization (Bohr magnetons per cell) = 1.00
- DOS(E_F) (states/eV per cell) = 6.77
- formation energy without anion corrections (eV per formula unit) = -25.139
- ρ (g/cm³) = 5.13

a = 8.895 Å, b = 9.542 Å, c = 8.896 Å
α = 117.79°, β = 120.00°, γ = 90.00°
Last column: magnetic moment on the atom in μB.
Element x y z (fractional)
Rb1 0.500 0.000 0.000  0.00
Rb2 0.500 0.000 0.500  0.00
Rb3 0.000 0.000 0.000  0.00
Rb4 0.000 0.000 0.500  0.00
Ac1 0.500 0.500 0.000  0.00
Ac2 0.500 0.500 0.500  0.00
Ac3 0.000 0.500 0.500  0.00
Ti1 0.000 0.500 0.000  0.91
Se1 0.215 0.694 0.980  -0.01
Se2 0.215 0.695 0.430  -0.01
Se3 0.262 0.286 0.524  0.00
Se4 0.765 0.694 0.980  -0.01
Se5 0.235 0.306 0.020  -0.01
Se6 0.738 0.714 0.476  0.00
Se7 0.785 0.305 0.570  -0.01
Se8 0.785 0.306 0.020  -0.01



5.
# RbAcTlSe3

A geometry-optimized RbAcTlSe3 structure (PBE, Alexandria).

- V (Å³/atom) = 39.1
- total magnetization (Bohr magnetons per cell) = 0.00
- DOS(E_F) (states/eV per cell) = 2.21
- formation energy without anion corrections (eV per formula unit) = -7.159
- ρ (g/cm³) = 5.34

a = 4.953 Å, b = 9.259 Å, c = 10.581 Å
α = 104.83°, β = 90.00°, γ = 90.00°
Element x y z (fractional)
Rb1 0.250 0.206 0.224
Rb2 0.750 0.794 0.776
Ac1 0.250 0.674 0.141
Ac2 0.750 0.326 0.859
Tl1 0.250 0.115 0.596
Tl2 0.750 0.885 0.404
Se1 0.750 0.895 0.141
Se2 0.250 0.105 0.859
Se3 0.250 0.783 0.464
Se4 0.750 0.217 0.536
Se5 0.750 0.464 0.153
Se6 0.250 0.536 0.847



6.
# Rb2AcTlSe4

A geometry-optimized Rb2AcTlSe4 structure (PBE, Alexandria).

- V (Å³/atom) = 35.0
- total magnetization (Bohr magnetons per cell) = 0.00
- DOS(E_F) (states/eV per cell) = 5.15
- formation energy without anion corrections (eV per formula unit) = -8.909
- ρ (g/cm³) = 5.44

a = 9.196 Å, b = 9.196 Å, c = 9.327 Å
α = 119.14°, β = 119.14°, γ = 92.39°
Element x y z (fractional)
Rb1 0.500 0.000 0.000
Rb2 0.500 0.000 0.500
Rb3 0.000 0.000 0.500
Rb4 0.500 0.500 0.000
Ac1 0.000 0.500 0.000
Ac2 0.000 0.500 0.500
Tl1 0.500 0.500 0.500
Tl2 0.000 0.000 0.000
Se1 0.217 0.733 0.969
Se2 0.767 0.283 0.531
Se3 0.233 0.717 0.469
Se4 0.783 0.267 0.031
Se5 0.787 0.770 0.985
Se6 0.730 0.713 0.515
Se7 0.270 0.287 0.485
Se8 0.213 0.230 0.015



7.
# Rb2AcTmSe4

A geometry-optimized Rb2AcTmSe4 structure (PBE, Alexandria).

- V (Å³/atom) = 33.8
- total magnetization (Bohr magnetons per cell) = 0.00
- DOS(E_F) (states/eV per cell) = 0.00
- formation energy without anion corrections (eV per formula unit) = -13.913
- ρ (g/cm³) = 5.43

a = 4.401 Å, b = 7.638 Å, c = 8.424 Å
α = 107.50°, β = 90.00°, γ = 90.00°
Element x y z (fractional)
Rb1 0.500 0.000 0.500
Rb2 0.000 0.500 0.500
Ac1 0.500 0.500 0.000
Tm1 0.000 0.000 0.000
Se1 0.500 0.214 0.195
Se2 0.500 0.786 0.805
Se3 0.000 0.244 0.796
Se4 0.000 0.756 0.204



8.
# Rb4Ac3TmSe8

A geometry-optimized Rb4Ac3TmSe8 structure (PBE, Alexandria).

- V (Å³/atom) = 35.4
- total magnetization (Bohr magnetons per cell) = 0.00
- DOS(E_F) (states/eV per cell) = 0.00
- formation energy without anion corrections (eV per formula unit) = -28.264
- ρ (g/cm³) = 5.34

a = 9.017 Å, b = 9.586 Å, c = 9.017 Å
α = 118.07°, β = 120.00°, γ = 90.00°
Element x y z (fractional)
Rb1 0.500 0.000 0.000
Rb2 0.500 0.000 0.500
Rb3 0.000 0.000 0.000
Rb4 0.000 0.000 0.500
Ac1 0.500 0.500 0.000
Ac2 0.500 0.500 0.500
Ac3 0.000 0.500 0.500
Tm1 0.000 0.500 0.000
Se1 0.224 0.701 0.977
Se2 0.224 0.701 0.448
Se3 0.263 0.289 0.526
Se4 0.753 0.701 0.977
Se5 0.247 0.299 0.023
Se6 0.737 0.711 0.474
Se7 0.776 0.299 0.552
Se8 0.776 0.299 0.023



9.
# Rb3Ac3USe8

A geometry-optimized Rb3Ac3USe8 structure (PBE, Alexandria).

- V (Å³/atom) = 38.4
- total magnetization (Bohr magnetons per cell) = 2.00
- DOS(E_F) (states/eV per cell) = 5.98
- formation energy without anion corrections (eV per formula unit) = -24.998
- ρ (g/cm³) = 5.20

a = 9.048 Å, b = 9.048 Å, c = 9.669 Å
α = 117.92°, β = 90.00°, γ = 120.00°
Last column: magnetic moment on the atom in μB.
Element x y z (fractional)
Rb1 0.000 0.000 0.000  0.00
Rb2 0.000 0.500 0.000  0.00
Rb3 0.500 0.500 0.000  0.00
Ac1 0.500 0.000 0.500  0.00
Ac2 0.500 0.500 0.500  0.00
Ac3 0.000 0.500 0.500  0.00
U1 0.000 0.000 0.500  2.08
Se1 0.264 0.527 0.291  0.00
Se2 0.736 0.473 0.709  0.00
Se3 0.781 0.563 0.307  -0.03
Se4 0.219 0.437 0.693  -0.03
Se5 0.781 0.026 0.307  -0.03
Se6 0.219 0.974 0.693  -0.03
Se7 0.244 0.026 0.307  -0.03
Se8 0.756 0.974 0.693  -0.03



10.
# RbAc2USe6

A geometry-optimized RbAc2USe6 structure (PBE, Alexandria).

- V (Å³/atom) = 36.3
- total magnetization (Bohr magnetons per cell) = 1.00
- DOS(E_F) (states/eV per cell) = 0.31
- formation energy without anion corrections (eV per formula unit) = -15.529
- ρ (g/cm³) = 5.72

a = 7.794 Å, b = 7.794 Å, c = 8.244 Å
α = 61.79°, β = 61.79°, γ = 60.00°
Last column: magnetic moment on the atom in μB.
Element x y z (fractional)
Rb1 0.792 0.792 0.625  0.00
Ac1 0.526 0.526 0.421  -0.01
Ac2 0.004 0.004 0.987  -0.01
U1 0.328 0.328 0.015  1.31
Se1 0.567 0.238 0.233  -0.03
Se2 0.239 0.962 0.233  -0.03
Se3 0.962 0.567 0.233  -0.03
Se4 0.359 0.709 0.756  -0.04
Se5 0.709 0.176 0.756  -0.04
Se6 0.176 0.359 0.756  -0.04



11.
# Rb4AcU3Se8

A geometry-optimized Rb4AcU3Se8 structure (PBE, Alexandria).

- V (Å³/atom) = 33.1
- total magnetization (Bohr magnetons per cell) = 9.00
- DOS(E_F) (states/eV per cell) = 20.56
- formation energy without anion corrections (eV per formula unit) = -21.319
- ρ (g/cm³) = 6.00

a = 8.714 Å, b = 9.498 Å, c = 8.714 Å
α = 117.32°, β = 120.00°, γ = 90.00°
Last column: magnetic moment on the atom in μB.
Element x y z (fractional)
Rb1 0.500 0.000 0.000  0.00
Rb2 0.500 0.000 0.500  0.00
Rb3 0.000 0.000 0.000  0.00
Rb4 0.000 0.000 0.500  0.00
Ac1 0.000 0.500 0.000  0.06
U1 0.500 0.500 0.000  2.73
U2 0.500 0.500 0.500  2.73
U3 0.000 0.500 0.500  2.73
Se1 0.242 0.702 0.961  -0.04
Se2 0.242 0.702 0.484  -0.04
Se3 0.269 0.306 0.537  -0.06
Se4 0.719 0.702 0.961  -0.04
Se5 0.281 0.298 0.039  -0.04
Se6 0.731 0.694 0.463  -0.06
Se7 0.758 0.298 0.516  -0.04
Se8 0.758 0.298 0.039  -0.04



12.
# Rb2AcUSe4

A geometry-optimized Rb2AcUSe4 structure (PBE, Alexandria).

- V (Å³/atom) = 34.6
- total magnetization (Bohr magnetons per cell) = 3.00
- DOS(E_F) (states/eV per cell) = 7.66
- formation energy without anion corrections (eV per formula unit) = -11.799
- ρ (g/cm³) = 5.71

a = 4.451 Å, b = 7.736 Å, c = 8.443 Å
α = 107.74°, β = 90.00°, γ = 90.00°
Last column: magnetic moment on the atom in μB.
Element x y z (fractional)
Rb1 0.500 0.000 0.500  0.00
Rb2 0.000 0.500 0.500  0.00
Ac1 0.500 0.500 0.000  0.04
U1 0.000 0.000 0.000  2.74
Se1 0.500 0.218 0.198  -0.04
Se2 0.500 0.782 0.802  -0.04
Se3 0.000 0.250 0.794  -0.02
Se4 0.000 0.750 0.206  -0.02



13.
# Rb3AcU2Se6

A geometry-optimized Rb3AcU2Se6 structure (PBE, Alexandria).

- V (Å³/atom) = 33.5
- total magnetization (Bohr magnetons per cell) = 6.01
- DOS(E_F) (states/eV per cell) = 10.44
- formation energy without anion corrections (eV per formula unit) = -16.606
- ρ (g/cm³) = 5.92

a = 7.592 Å, b = 7.592 Å, c = 8.445 Å
α = 98.63°, β = 98.63°, γ = 120.01°
Last column: magnetic moment on the atom in μB.
Element x y z (fractional)
Rb1 0.164 0.836 0.500  0.00
Rb2 0.836 0.164 0.500  0.00
Rb3 0.500 0.500 0.500  0.00
Ac1 0.000 0.000 0.000  0.06
U1 0.333 0.667 0.000  2.73
U2 0.667 0.333 0.000  2.73
Se1 0.933 0.582 0.799  -0.04
Se2 0.716 0.716 0.201  -0.04
Se3 0.067 0.418 0.201  -0.04
Se4 0.582 0.933 0.799  -0.04
Se5 0.284 0.284 0.799  -0.04
Se6 0.418 0.067 0.201  -0.04



14.
# Rb2Ac2USe6

A geometry-optimized Rb2Ac2USe6 structure (PBE, Alexandria).

- V (Å³/atom) = 38.5
- total magnetization (Bohr magnetons per cell) = 2.00
- DOS(E_F) (states/eV per cell) = 7.03
- formation energy without anion corrections (eV per formula unit) = -17.691
- ρ (g/cm³) = 5.24

a = 7.719 Å, b = 7.719 Å, c = 8.549 Å
α = 98.87°, β = 98.87°, γ = 119.18°
Last column: magnetic moment on the atom in μB.
Element x y z (fractional)
Rb1 0.830 0.170 0.000  0.00
Rb2 0.170 0.830 0.000  0.00
Ac1 0.334 0.666 0.500  0.00
Ac2 0.666 0.334 0.500  0.00
U1 0.000 0.000 0.500  2.11
Se1 0.761 0.761 0.695  -0.03
Se2 0.064 0.377 0.696  -0.03
Se3 0.239 0.239 0.305  -0.03
Se4 0.377 0.064 0.696  -0.03
Se5 0.936 0.623 0.304  -0.03
Se6 0.623 0.936 0.304  -0.03



15.
# Rb3Ac2USe6

A geometry-optimized Rb3Ac2USe6 structure (PBE, Alexandria).

- V (Å³/atom) = 35.6
- total magnetization (Bohr magnetons per cell) = 3.01
- DOS(E_F) (states/eV per cell) = 9.36
- formation energy without anion corrections (eV per formula unit) = -18.969
- ρ (g/cm³) = 5.53

a = 7.836 Å, b = 7.836 Å, c = 8.453 Å
α = 98.90°, β = 98.90°, γ = 120.00°
Last column: magnetic moment on the atom in μB.
Element x y z (fractional)
Rb1 0.168 0.832 0.500  0.00
Rb2 0.832 0.168 0.500  0.00
Rb3 0.500 0.500 0.500  0.00
Ac1 0.333 0.667 0.000  0.02
Ac2 0.667 0.333 0.000  0.02
U1 0.000 0.000 0.000  2.78
Se1 0.932 0.612 0.796  -0.01
Se2 0.749 0.749 0.204  -0.01
Se3 0.068 0.388 0.204  -0.01
Se4 0.612 0.932 0.796  -0.01
Se5 0.251 0.251 0.796  -0.01
Se6 0.388 0.068 0.204  -0.01



16.
# Rb4Ac3VSe8

A geometry-optimized Rb4Ac3VSe8 structure (PBE, Alexandria).

- V (Å³/atom) = 34.4
- total magnetization (Bohr magnetons per cell) = 2.00
- DOS(E_F) (states/eV per cell) = 9.46
- formation energy without anion corrections (eV per formula unit) = -23.723
- ρ (g/cm³) = 5.15

a = 8.885 Å, b = 9.538 Å, c = 8.885 Å
α = 117.76°, β = 120.00°, γ = 90.00°
Last column: magnetic moment on the atom in μB.
Element x y z (fractional)
Rb1 0.500 0.000 0.000  0.00
Rb2 0.500 0.000 0.500  0.00
Rb3 0.000 0.000 0.000  0.00
Rb4 0.000 0.000 0.500  0.00
Ac1 0.500 0.500 0.000  0.00
Ac2 0.500 0.500 0.500  0.00
Ac3 0.000 0.500 0.500  0.00
V1 0.000 0.500 0.000  2.03
Se1 0.213 0.693 0.980  -0.03
Se2 0.213 0.693 0.426  -0.03
Se3 0.262 0.286 0.524  0.00
Se4 0.767 0.693 0.980  -0.03
Se5 0.233 0.307 0.020  -0.03
Se6 0.738 0.714 0.476  0.00
Se7 0.787 0.307 0.574  -0.03
Se8 0.787 0.307 0.020  -0.03



17.
# Rb2AcYSe4

A geometry-optimized Rb2AcYSe4 structure (PBE, Alexandria).

- V (Å³/atom) = 34.2
- total magnetization (Bohr magnetons per cell) = 0.00
- DOS(E_F) (states/eV per cell) = 0.00
- formation energy without anion corrections (eV per formula unit) = -14.068
- ρ (g/cm³) = 4.88

a = 4.429 Å, b = 7.678 Å, c = 8.428 Å
α = 107.57°, β = 90.00°, γ = 90.00°
Element x y z (fractional)
Rb1 0.500 0.000 0.500
Rb2 0.000 0.500 0.500
Ac1 0.500 0.500 0.000
Y1 0.000 0.000 0.000
Se1 0.500 0.217 0.198
Se2 0.500 0.783 0.802
Se3 0.000 0.248 0.795
Se4 0.000 0.752 0.205



18.
# Rb3AcY2Se6

A geometry-optimized Rb3AcY2Se6 structure (PBE, Alexandria).

- V (Å³/atom) = 33.1
- total magnetization (Bohr magnetons per cell) = 0.00
- DOS(E_F) (states/eV per cell) = 0.00
- formation energy without anion corrections (eV per formula unit) = -21.080
- ρ (g/cm³) = 4.74

a = 7.566 Å, b = 7.566 Å, c = 8.414 Å
α = 98.65°, β = 98.65°, γ = 120.01°
Element x y z (fractional)
Rb1 0.164 0.836 0.500
Rb2 0.836 0.164 0.500
Rb3 0.500 0.500 0.500
Ac1 0.000 0.000 0.000
Y1 0.333 0.667 0.000
Y2 0.667 0.333 0.000
Se1 0.933 0.582 0.801
Se2 0.715 0.715 0.199
Se3 0.067 0.418 0.199
Se4 0.582 0.933 0.801
Se5 0.285 0.285 0.801
Se6 0.418 0.067 0.199



19.
# Rb2AcZn2Se4

A geometry-optimized Rb2AcZn2Se4 structure (PBE, Alexandria).

- V (Å³/atom) = 32.2
- total magnetization (Bohr magnetons per cell) = 0.00
- DOS(E_F) (states/eV per cell) = 2.70
- formation energy without anion corrections (eV per formula unit) = -10.106
- ρ (g/cm³) = 4.84

a = 4.610 Å, b = 8.254 Å, c = 8.432 Å
α = 109.19°, β = 105.86°, γ = 90.00°
Element x y z (fractional)
Rb1 0.134 0.566 0.268
Rb2 0.866 0.434 0.732
Ac1 0.000 0.000 0.000
Zn1 0.678 0.003 0.356
Zn2 0.322 0.997 0.644
Se1 0.206 0.160 0.412
Se2 0.794 0.840 0.588
Se3 0.526 0.765 0.052
Se4 0.474 0.235 0.948



20.
# Rb3Ac3ZrSe8

A geometry-optimized Rb3Ac3ZrSe8 structure (PBE, Alexandria).

- V (Å³/atom) = 37.4
- total magnetization (Bohr magnetons per cell) = 0.00
- DOS(E_F) (states/eV per cell) = 0.00
- formation energy without anion corrections (eV per formula unit) = -25.381
- ρ (g/cm³) = 4.91

a = 8.905 Å, b = 8.908 Å, c = 9.659 Å
α = 117.48°, β = 90.00°, γ = 119.99°
Element x y z (fractional)
Rb1 0.000 0.000 0.000
Rb2 0.000 0.500 0.000
Rb3 0.500 0.500 0.000
Ac1 0.500 0.000 0.500
Ac2 0.500 0.500 0.500
Ac3 0.000 0.500 0.500
Zr1 0.000 0.000 0.500
Se1 0.263 0.526 0.289
Se2 0.737 0.474 0.711
Se3 0.787 0.575 0.310
Se4 0.213 0.425 0.690
Se5 0.788 0.022 0.310
Se6 0.212 0.978 0.690
Se7 0.235 0.022 0.310
Se8 0.765 0.978 0.690